4
Lattice="-3.387 -0.276 2.759 1.981 -2.811 2.151 1.636 2.914 2.300" Properties=species:S:1:pos:R:3 comment="PBE MgGa2Au, optimized geometry" formation_enthalpy_0k_ev_per_atom=-0.239 e_tot_ev_per_atom=-2.971 pbc="T T T"
Mg 0.115 -0.087 3.605
Au -1.693 -0.138 1.379
Ga 0.818 1.457 1.150
Ga 0.991 -1.405 1.076